DFT (PBE) results for a relaxed DyCoSi2Ag crystal.

The structure in CIF format:
```
data_DyCoSi2Ag
_chemical_formula_sum 'Dy1 Co1 Si2 Ag1'
_symmetry_space_group_name_H-M 'P 1'
_symmetry_Int_Tables_number 1
_cell_length_a 5.8196
_cell_length_b 5.8196
_cell_length_c 5.8196
_cell_angle_alpha 139.35
_cell_angle_beta 139.35
_cell_angle_gamma 58.84
loop_
_symmetry_equiv_pos_as_xyz
'x,y,z'
loop_
_atom_site_label
_atom_site_type_symbol
_atom_site_fract_x
_atom_site_fract_y
_atom_site_fract_z
Dy1 Dy 0.0000 0.0000 0.0000
Co1 Co 0.2500 0.7500 0.5000
Si1 Si 0.3845 0.3845 0.0000
Si2 Si 0.6155 0.6155 0.0000
Ag1 Ag 0.7500 0.2500 0.5000
```

Values from the calculation:
calculated density = 7.73 g/cm3
calculated total energy = -5.537 eV per atom
space group = I-4m2 (119)
calculated volume = 16.57 Å³/atom

=====

DFT (PBE) results for a relaxed Er2Ga4CoAg crystal.

The structure in CIF format:
```
data_Er2Ga4CoAg
_chemical_formula_sum 'Er2 Ga4 Co1 Ag1'
_symmetry_space_group_name_H-M 'P 1'
_symmetry_Int_Tables_number 1
_cell_length_a 6.6964
_cell_length_b 5.5003
_cell_length_c 5.5003
_cell_angle_alpha 45.79
_cell_angle_beta 90.00
_cell_angle_gamma 90.00
loop_
_symmetry_equiv_pos_as_xyz
'x,y,z'
loop_
_atom_site_label
_atom_site_type_symbol
_atom_site_fract_x
_atom_site_fract_y
_atom_site_fract_z
Er1 Er 0.0000 0.0000 0.0000
Er2 Er 0.5000 0.1578 0.1578
Ga1 Ga 0.2106 0.7166 0.7166
Ga2 Ga 0.3125 0.4498 0.4498
Ga3 Ga 0.6875 0.4498 0.4498
Ga4 Ga 0.7894 0.7166 0.7166
Co1 Co 0.5000 0.8766 0.8766
Ag1 Ag 0.0000 0.2882 0.2882
```

Values from the calculation:
calculated density = 8.92 g/cm3
calculated total energy = -4.368 eV per atom
space group = Amm2 (38)
calculated volume = 18.15 Å³/atom

=====

DFT (PBE) results for a relaxed FeCoAgPb crystal.

The structure in CIF format:
```
data_FeCoAgPb
_chemical_formula_sum 'Fe1 Co1 Ag1 Pb1'
_symmetry_space_group_name_H-M 'P 1'
_symmetry_Int_Tables_number 1
_cell_length_a 4.5438
_cell_length_b 4.5438
_cell_length_c 4.5438
_cell_angle_alpha 60.00
_cell_angle_beta 60.00
_cell_angle_gamma 60.00
loop_
_symmetry_equiv_pos_as_xyz
'x,y,z'
loop_
_atom_site_label
_atom_site_type_symbol
_atom_site_fract_x
_atom_site_fract_y
_atom_site_fract_z
Fe1 Fe 0.0000 0.0000 0.0000
Co1 Co 0.7500 0.7500 0.7500
Ag1 Ag 0.2500 0.2500 0.2500
Pb1 Pb 0.5000 0.5000 0.5000
```

Values from the calculation:
calculated density = 10.76 g/cm3
distance to the lowest polymorph of the same formula = 0 kJ/mol of formula units
calculated total energy = -4.969 eV per atom
space group = F-43m (216)
calculated volume = 16.58 Å³/atom

=====

DFT (PBE) results for a relaxed FeCoSiAg crystal.

The structure in CIF format:
```
data_FeCoSiAg
_chemical_formula_sum 'Fe1 Co1 Si1 Ag1'
_symmetry_space_group_name_H-M 'P 1'
_symmetry_Int_Tables_number 1
_cell_length_a 4.1589
_cell_length_b 4.1589
_cell_length_c 4.1589
_cell_angle_alpha 60.00
_cell_angle_beta 60.00
_cell_angle_gamma 60.00
loop_
_symmetry_equiv_pos_as_xyz
'x,y,z'
loop_
_atom_site_label
_atom_site_type_symbol
_atom_site_fract_x
_atom_site_fract_y
_atom_site_fract_z
Fe1 Fe 0.0000 0.0000 0.0000
Co1 Co 0.5000 0.5000 0.5000
Si1 Si 0.2500 0.2500 0.2500
Ag1 Ag 0.7500 0.7500 0.7500
```

Values from the calculation:
calculated density = 8.19 g/cm3
distance to the lowest polymorph of the same formula = 0 kJ/mol of formula units
calculated total energy = -5.746 eV per atom
space group = F-43m (216)
calculated volume = 12.72 Å³/atom

=====

DFT (PBE) results for a relaxed FeCoAgSn crystal.

The structure in CIF format:
```
data_FeCoAgSn
_chemical_formula_sum 'Fe1 Co1 Ag1 Sn1'
_symmetry_space_group_name_H-M 'P 1'
_symmetry_Int_Tables_number 1
_cell_length_a 4.4411
_cell_length_b 4.4411
_cell_length_c 4.4411
_cell_angle_alpha 60.00
_cell_angle_beta 60.00
_cell_angle_gamma 60.00
loop_
_symmetry_equiv_pos_as_xyz
'x,y,z'
loop_
_atom_site_label
_atom_site_type_symbol
_atom_site_fract_x
_atom_site_fract_y
_atom_site_fract_z
Fe1 Fe 0.0000 0.0000 0.0000
Co1 Co 0.7500 0.7500 0.7500
Ag1 Ag 0.2500 0.2500 0.2500
Sn1 Sn 0.5000 0.5000 0.5000
```

Values from the calculation:
calculated density = 9.15 g/cm3
distance to the lowest polymorph of the same formula = 0 kJ/mol of formula units
calculated total energy = -5.300 eV per atom
space group = F-43m (216)
calculated volume = 15.48 Å³/atom

=====

DFT (PBE) results for a relaxed TlFeCoAg crystal.

The structure in CIF format:
```
data_TlFeCoAg
_chemical_formula_sum 'Tl1 Fe1 Co1 Ag1'
_symmetry_space_group_name_H-M 'P 1'
_symmetry_Int_Tables_number 1
_cell_length_a 4.4965
_cell_length_b 4.4965
_cell_length_c 4.4965
_cell_angle_alpha 60.00
_cell_angle_beta 60.00
_cell_angle_gamma 60.00
loop_
_symmetry_equiv_pos_as_xyz
'x,y,z'
loop_
_atom_site_label
_atom_site_type_symbol
_atom_site_fract_x
_atom_site_fract_y
_atom_site_fract_z
Tl1 Tl 0.0000 0.0000 0.0000
Fe1 Fe 0.5000 0.5000 0.5000
Co1 Co 0.2500 0.2500 0.2500
Ag1 Ag 0.7500 0.7500 0.7500
```

Values from the calculation:
calculated density = 11.03 g/cm3
distance to the lowest polymorph of the same formula = 0 kJ/mol of formula units
calculated total energy = -4.635 eV per atom
space group = F-43m (216)
calculated volume = 16.07 Å³/atom

=====

DFT (PBE) results for a relaxed ZnFeCoAg crystal.

The structure in CIF format:
```
data_ZnFeCoAg
_chemical_formula_sum 'Zn1 Fe1 Co1 Ag1'
_symmetry_space_group_name_H-M 'P 1'
_symmetry_Int_Tables_number 1
_cell_length_a 4.2493
_cell_length_b 4.2493
_cell_length_c 4.2493
_cell_angle_alpha 60.00
_cell_angle_beta 60.00
_cell_angle_gamma 60.00
loop_
_symmetry_equiv_pos_as_xyz
'x,y,z'
loop_
_atom_site_label
_atom_site_type_symbol
_atom_site_fract_x
_atom_site_fract_y
_atom_site_fract_z
Zn1 Zn 0.0000 0.0000 0.0000
Fe1 Fe 0.5000 0.5000 0.5000
Co1 Co 0.2500 0.2500 0.2500
Ag1 Ag 0.7500 0.7500 0.7500
```

Values from the calculation:
calculated density = 8.82 g/cm3
DFT formation energy = 0.8 eV per formula unit
distance to the lowest polymorph of the same formula = 0 kJ/mol of formula units
calculated total energy = -4.665 eV per atom
space group = F-43m (216)
calculated volume = 13.56 Å³/atom

=====

DFT (PBE) results for a relaxed GaCoAg crystal.

The structure in CIF format:
```
data_GaCoAg
_chemical_formula_sum 'Ga1 Co1 Ag1'
_symmetry_space_group_name_H-M 'P 1'
_symmetry_Int_Tables_number 1
_cell_length_a 4.1759
_cell_length_b 4.1759
_cell_length_c 4.1759
_cell_angle_alpha 60.00
_cell_angle_beta 60.00
_cell_angle_gamma 60.00
loop_
_symmetry_equiv_pos_as_xyz
'x,y,z'
loop_
_atom_site_label
_atom_site_type_symbol
_atom_site_fract_x
_atom_site_fract_y
_atom_site_fract_z
Ga1 Ga 0.0000 0.0000 0.0000
Co1 Co 0.5000 0.5000 0.5000
Ag1 Ag 0.7500 0.7500 0.7500
```

Values from the calculation:
calculated density = 7.63 g/cm3
calculated total energy = -3.765 eV per atom
space group = F-43m (216)
calculated volume = 17.16 Å³/atom

=====

DFT (PBE) results for a relaxed GaCoAg2 crystal.

The structure in CIF format:
```
data_GaCoAg2
_chemical_formula_sum 'Ga1 Co1 Ag2'
_symmetry_space_group_name_H-M 'P 1'
_symmetry_Int_Tables_number 1
_cell_length_a 4.4181
_cell_length_b 4.4181
_cell_length_c 4.4181
_cell_angle_alpha 60.00
_cell_angle_beta 60.00
_cell_angle_gamma 60.00
loop_
_symmetry_equiv_pos_as_xyz
'x,y,z'
loop_
_atom_site_label
_atom_site_type_symbol
_atom_site_fract_x
_atom_site_fract_y
_atom_site_fract_z
Ga1 Ga 0.0000 0.0000 0.0000
Co1 Co 0.2500 0.2500 0.2500
Ag1 Ag 0.5000 0.5000 0.5000
Ag2 Ag 0.7500 0.7500 0.7500
```

Values from the calculation:
calculated density = 9.38 g/cm3
calculated total energy = -3.751 eV per atom
space group = F-43m (216)
calculated volume = 15.24 Å³/atom

=====

DFT (PBE) results for a relaxed GaCo2Ag crystal.

The structure in CIF format:
```
data_GaCo2Ag
_chemical_formula_sum 'Ga1 Co2 Ag1'
_symmetry_space_group_name_H-M 'P 1'
_symmetry_Int_Tables_number 1
_cell_length_a 4.2414
_cell_length_b 4.2414
_cell_length_c 4.2414
_cell_angle_alpha 60.00
_cell_angle_beta 60.00
_cell_angle_gamma 60.00
loop_
_symmetry_equiv_pos_as_xyz
'x,y,z'
loop_
_atom_site_label
_atom_site_type_symbol
_atom_site_fract_x
_atom_site_fract_y
_atom_site_fract_z
Ga1 Ga 0.0000 0.0000 0.0000
Co1 Co 0.5000 0.5000 0.5000
Co2 Co 0.7500 0.7500 0.7500
Ag1 Ag 0.2500 0.2500 0.2500
```

Values from the calculation:
calculated density = 9.09 g/cm3
calculated total energy = -4.819 eV per atom
space group = F-43m (216)
calculated volume = 13.49 Å³/atom